Record 1
DFT (PBE-GGA) results for a geometry-optimized Gd2HfAl structure.

Unit cell a=4.5699 b=4.5699 c=4.6839 alpha=90.00 beta=90.00 gamma=90.00
Closest atoms and distances in Å follow each position.
Space group P4/mmm (No. 123)
One atom of each set of equivalent atoms:
Gd 0.0000 0.5000 0.0000  4 Gd 3.23, 4 Hf 3.27, 4 Al 3.27
Hf 0.0000 0.0000 0.5000  4 Al 3.23, 8 Gd 3.27
Al 0.5000 0.5000 0.5000  4 Hf 3.23, 8 Gd 3.27

Output
DOS at the Fermi energy: 3.68 states/eV per cell
Total DFT energy (no corrections): -42.2 eV per cell
Volume: 24.45 Å³/atom
Density: 8.83 Mg/m³
Formation energy from the elements: -0.092 eV per atom
Polymorph energy (0 for the lowest one): 0.0000 eV/atom

***

Record 2
DFT (PBE-GGA) results for a geometry-optimized Gd2HfAl structure.

Unit cell a=3.3767 b=3.3767 c=8.9011 alpha=90.00 beta=90.00 gamma=90.00
Closest atoms and distances in Å follow each position.
Space group P4/mmm (No. 123)
One atom of each set of equivalent atoms:
Gd 0.0000 0.0000 0.2346  4 Al 3.17, 4 Hf 3.36, 4 Gd 3.38
Hf 0.5000 0.5000 0.5000  8 Gd 3.36, 4 Hf 3.38
Al 0.5000 0.5000 0.0000  8 Gd 3.17, 4 Al 3.38

Output
DOS at the Fermi energy: 3.33 states/eV per cell
Total DFT energy (no corrections): -42.2 eV per cell
Volume: 25.37 Å³/atom
Density: 8.51 Mg/m³
Formation energy from the elements: -0.086 eV per atom
Polymorph energy (0 for the lowest one): 0.0053 eV/atom

***

Record 3
DFT (PBE-GGA) results for a geometry-optimized GdHfAl4 structure.

Unit cell a=7.6848 b=7.6848 c=7.6848 alpha=90.00 beta=90.00 gamma=90.00
Closest atoms and distances in Å follow each position.
Space group F-43m (No. 216)
One atom of each set of equivalent atoms:
Gd 0.0000 0.0000 0.0000  12 Al 3.19, 4 Hf 3.33
Hf 0.2500 0.2500 0.2500  12 Al 3.19, 4 Gd 3.33
Al 0.1247 0.1247 0.6247  6 Al 2.71-2.72

Output
DOS at the Fermi energy: 11.07 states/eV per cell
Total DFT energy (no corrections): -166.6 eV per cell
Volume: 18.91 Å³/atom
Density: 6.49 Mg/m³
Formation energy from the elements: -0.439 eV per atom

***

Record 4
DFT (PBE-GGA) results for a geometry-optimized LiGdHfAl structure.

Unit cell a=6.9813 b=6.9813 c=6.9813 alpha=90.00 beta=90.00 gamma=90.00
Closest atoms and distances in Å follow each position.
Space group F-43m (No. 216)
One atom of each set of equivalent atoms:
Li 0.0000 0.0000 0.0000  4 Gd 3.02, 4 Hf 3.02
Gd 0.2500 0.2500 0.7500  4 Li 3.02, 4 Al 3.02
Hf 0.2500 0.2500 0.2500  4 Li 3.02, 4 Al 3.02
Al 0.0000 0.0000 0.5000  4 Gd 3.02, 4 Hf 3.02

Output
DOS at the Fermi energy: 11.22 states/eV per cell
Total DFT energy (no corrections): -119.7 eV per cell
Volume: 21.27 Å³/atom
Density: 7.22 Mg/m³
Formation energy from the elements: -0.060 eV per atom

***

Record 5
DFT (PBE-GGA) results for a geometry-optimized GdHfMgAl structure.

Unit cell a=7.0869 b=7.0869 c=7.0869 alpha=90.00 beta=90.00 gamma=90.00
Closest atoms and distances in Å follow each position.
Space group F-43m (No. 216)
One atom of each set of equivalent atoms:
Gd 0.0000 0.0000 0.0000  4 Mg 3.07, 4 Al 3.07
Hf 0.0000 0.0000 0.5000  4 Al 3.07, 4 Mg 3.07
Mg 0.2500 0.2500 0.7500  4 Hf 3.07, 4 Gd 3.07
Al 0.2500 0.2500 0.2500  4 Gd 3.07, 4 Hf 3.07

Output
DOS at the Fermi energy: 11.11 states/eV per cell
Total DFT energy (no corrections): -119.2 eV per cell
Volume: 22.25 Å³/atom
Density: 7.22 Mg/m³
Formation energy from the elements: -0.106 eV per atom

***

Record 6
DFT (PBE-GGA) results for a geometry-optimized GdAlHg structure.

Unit cell a=3.4462 b=3.4462 c=11.6747 alpha=90.00 beta=90.00 gamma=90.00
Closest atoms and distances in Å follow each position.
Space group I4mm (No. 107)
One atom of each set of equivalent atoms:
Gd 0.0000 0.0000 0.0000  4 Al 3.18, 4 Hg 3.28, 4 Gd 3.45
Al 0.0000 0.0000 0.3252  4 Hg 2.92, 4 Gd 3.18
Hg 0.0000 0.0000 0.6878  4 Al 2.92

Output
DOS at the Fermi energy: 3.27 states/eV per cell
Total DFT energy (no corrections): -38.0 eV per cell
Volume: 23.11 Å³/atom
Density: 9.22 Mg/m³
Formation energy from the elements: -0.284 eV per atom
Polymorph energy (0 for the lowest one): 0.1835 eV/atom

***

Record 7
DFT (PBE-GGA) results for a geometry-optimized Gd2AlHg structure.

Unit cell a=3.6830 b=3.6830 c=28.0037 alpha=90.00 beta=90.00 gamma=120.00
Closest atoms and distances in Å follow each position.
Space group R-3m (No. 166, hexagonal axes)
One atom of each set of equivalent atoms:
Gd 0.0000 0.0000 0.2467  3 Al 3.09, 3 Hg 3.23
Al 0.0000 0.0000 0.5000  6 Gd 3.09
Hg 0.0000 0.0000 0.0000  6 Gd 3.23

Output
DOS at the Fermi energy: 10.37 states/eV per cell
Total DFT energy (no corrections): -99.6 eV per cell
Volume: 27.41 Å³/atom
Density: 8.21 Mg/m³
Formation energy from the elements: -0.250 eV per atom
Polymorph energy (0 for the lowest one): 0.1959 eV/atom

***

Record 8
DFT (PBE-GGA) results for a geometry-optimized Gd2AlHg structure.

Unit cell a=3.6744 b=3.6744 c=7.5285 alpha=90.00 beta=90.00 gamma=90.00
Closest atoms and distances in Å follow each position.
Space group P4/mmm (No. 123)
One atom of each set of equivalent atoms:
Gd 0.0000 0.0000 0.2415  4 Al 3.17, 4 Hg 3.25
Al 0.5000 0.5000 0.0000  8 Gd 3.17
Hg 0.5000 0.5000 0.5000  8 Gd 3.25

Output
DOS at the Fermi energy: 3.53 states/eV per cell
Total DFT energy (no corrections): -34.0 eV per cell
Volume: 25.41 Å³/atom
Density: 8.86 Mg/m³
Formation energy from the elements: -0.445 eV per atom
Polymorph energy (0 for the lowest one): 0.0000 eV/atom

***

Record 9
DFT (PBE-GGA) results for a geometry-optimized Gd2AlHg structure.

Unit cell a=7.4293 b=7.4293 c=7.4293 alpha=90.00 beta=90.00 gamma=90.00
Closest atoms and distances in Å follow each position.
Space group Fm-3m (No. 225)
One atom of each set of equivalent atoms:
Gd 0.2500 0.2500 0.2500  4 Hg 3.22, 4 Al 3.22
Al 0.0000 0.0000 0.0000  8 Gd 3.22
Hg 0.0000 0.0000 0.5000  8 Gd 3.22

Output
DOS at the Fermi energy: 12.11 states/eV per cell
Total DFT energy (no corrections): -135.7 eV per cell
Volume: 25.63 Å³/atom
Density: 8.78 Mg/m³
Formation energy from the elements: -0.427 eV per atom
Polymorph energy (0 for the lowest one): 0.0181 eV/atom

***

Record 10
DFT (PBE-GGA) results for a geometry-optimized GdAlHg structure.

Unit cell a=6.7766 b=6.7766 c=6.7766 alpha=90.00 beta=90.00 gamma=90.00
Closest atoms and distances in Å follow each position.
Space group F-43m (No. 216)
One atom of each set of equivalent atoms:
Gd 0.0000 0.0000 0.0000  4 Hg 2.93
Al 0.0000 0.0000 0.5000  4 Hg 2.93
Hg 0.2500 0.2500 0.2500  4 Al 2.93, 4 Gd 2.93

Output
DOS at the Fermi energy: 2.24 states/eV per cell
Total DFT energy (no corrections): -76.4 eV per cell
Volume: 25.93 Å³/atom
Density: 8.21 Mg/m³
Formation energy from the elements: -0.323 eV per atom
Polymorph energy (0 for the lowest one): 0.1447 eV/atom

***

Record 11
DFT (PBE-GGA) results for a geometry-optimized GdAlHg structure.

Unit cell a=4.7021 b=4.7021 c=3.5908 alpha=90.00 beta=90.00 gamma=120.00
Closest atoms and distances in Å follow each position.
Space group P-6m2 (No. 187)
One atom of each set of equivalent atoms:
Gd 0.0000 0.0000 0.0000  6 Hg 3.25, 6 Al 3.25, 2 Gd 3.59
Al 0.3333 0.6667 0.5000  3 Hg 2.71
Hg 0.6667 0.3333 0.5000  3 Al 2.71

Output
DOS at the Fermi energy: 1.52 states/eV per cell
Total DFT energy (no corrections): -19.5 eV per cell
Volume: 22.92 Å³/atom
Density: 9.29 Mg/m³
Formation energy from the elements: -0.467 eV per atom
Polymorph energy (0 for the lowest one): 0.0000 eV/atom

***

Record 12
DFT (PBE-GGA) results for a geometry-optimized GdAl4Hg structure.

Unit cell a=7.8893 b=7.8893 c=7.8893 alpha=90.00 beta=90.00 gamma=90.00
Closest atoms and distances in Å follow each position.
Space group F-43m (No. 216)
One atom of each set of equivalent atoms:
Gd 0.0000 0.0000 0.0000  12 Al 3.27, 4 Hg 3.42
Al 0.1259 0.1259 0.6259  6 Al 2.77-2.81
Hg 0.2500 0.2500 0.2500  12 Al 3.27, 4 Gd 3.42

Output
DOS at the Fermi energy: 19.18 states/eV per cell
Total DFT energy (no corrections): -120.9 eV per cell
Volume: 20.46 Å³/atom
Density: 6.30 Mg/m³
Formation energy from the elements: -0.144 eV per atom

***

Record 13
DFT (PBE-GGA) results for a geometry-optimized GdHoAlHg structure.

Unit cell a=7.3826 b=7.3826 c=7.3826 alpha=90.00 beta=90.00 gamma=90.00
Closest atoms and distances in Å follow each position.
Space group F-43m (No. 216)
One atom of each set of equivalent atoms:
Gd 0.0000 0.0000 0.0000  4 Hg 3.20, 4 Al 3.20
Ho 0.0000 0.0000 0.5000  4 Hg 3.20, 4 Al 3.20
Al 0.2500 0.2500 0.7500  4 Gd 3.20, 4 Ho 3.20
Hg 0.2500 0.2500 0.2500  4 Ho 3.20, 4 Gd 3.20

Output
DOS at the Fermi energy: 14.91 states/eV per cell
Total DFT energy (no corrections): -97.4 eV per cell
Volume: 25.15 Å³/atom
Density: 9.07 Mg/m³
Formation energy from the elements: -0.409 eV per atom

***

Record 14
DFT (PBE-GGA) results for a geometry-optimized GdLuAlHg structure.

Unit cell a=7.3286 b=7.3286 c=7.3286 alpha=90.00 beta=90.00 gamma=90.00
Closest atoms and distances in Å follow each position.
Space group F-43m (No. 216)
One atom of each set of equivalent atoms:
Gd 0.0000 0.0000 0.0000  4 Hg 3.17, 4 Al 3.17
Lu 0.0000 0.0000 0.5000  4 Al 3.17, 4 Hg 3.17
Al 0.2500 0.2500 0.7500  4 Gd 3.17, 4 Lu 3.17
Hg 0.2500 0.2500 0.2500  4 Lu 3.17, 4 Gd 3.17

Output
DOS at the Fermi energy: 14.92 states/eV per cell
Total DFT energy (no corrections): -96.9 eV per cell
Volume: 24.60 Å³/atom
Density: 9.45 Mg/m³
Formation energy from the elements: -0.395 eV per atom

***

Record 15
DFT (PBE-GGA) results for a geometry-optimized GdMgAlHg structure.

Unit cell a=7.1459 b=7.1459 c=7.1459 alpha=90.00 beta=90.00 gamma=90.00
Closest atoms and distances in Å follow each position.
Space group F-43m (No. 216)
One atom of each set of equivalent atoms:
Gd 0.0000 0.0000 0.0000  4 Al 3.09, 4 Hg 3.09
Mg 0.0000 0.0000 0.5000  4 Hg 3.09, 4 Al 3.09
Al 0.2500 0.2500 0.7500  4 Gd 3.09, 4 Mg 3.09
Hg 0.2500 0.2500 0.2500  4 Gd 3.09, 4 Mg 3.09

Output
DOS at the Fermi energy: 4.52 states/eV per cell
Total DFT energy (no corrections): -84.2 eV per cell
Volume: 22.81 Å³/atom
Density: 7.45 Mg/m³
Formation energy from the elements: -0.331 eV per atom